VASP calculation (GGA-PBE) on an optimized crystal structure of Hf2InRe.

DFT formation energy (kcal/mol of atoms): 9.27
Spin magnetization (μB/atom): 0.0000
Volume (Å³/atom): 21.74
Electronic total energy (eV for the cell shown): -133.938
DOS(E_F) (states/eV per atom): 0.75

Structure (CIF):
```
data_Hf2InRe
_chemical_formula_sum 'Hf8 In4 Re4'
_cell_length_a 7.795
_cell_length_b 7.795
_cell_length_c 5.725
_cell_angle_alpha 90.00
_cell_angle_beta 90.00
_cell_angle_gamma 90.00
_symmetry_space_group_name_H-M 'I -4 2 d'
_symmetry_Int_Tables_number 122
_symmetry_space_group_name_Hall 'I -4 2bw'
loop_
_atom_site_label
_atom_site_fract_x
_atom_site_fract_y
_atom_site_fract_z
Hf1 0.202 0.750 0.125
In1 0.000 0.000 0.500
Re1 0.000 0.000 0.000
```

***

VASP calculation (GGA-PBE) on an optimized crystal structure of HfInReSb2.

Spin magnetization (μB/atom): 0.6696
Volume (Å³/atom): 30.73
Electronic total energy (eV for the cell shown): -23.425
DOS(E_F) (states/eV per atom): 0.98

Structure (CIF):
```
data_HfInReSb2
_chemical_formula_sum 'Hf1 In1 Re1 Sb2'
_cell_length_a 5.360
_cell_length_b 5.360
_cell_length_c 5.349
_cell_angle_alpha 90.00
_cell_angle_beta 90.00
_cell_angle_gamma 90.00
_symmetry_space_group_name_H-M 'P 4/m m m'
_symmetry_Int_Tables_number 123
_symmetry_space_group_name_Hall '-P 4 2'
loop_
_atom_site_label
_atom_site_fract_x
_atom_site_fract_y
_atom_site_fract_z
Hf1 0.000 0.000 0.000
In1 0.000 0.000 0.500
Re1 0.500 0.500 0.000
Sb1 0.000 0.500 0.500
```

***

VASP calculation (GGA-PBE) on an optimized crystal structure of HfScInRe.

DFT formation energy (kcal/mol of atoms): -4.59
Spin magnetization (μB/atom): 0.0000
Volume (Å³/atom): 19.30
Electronic total energy (eV for the cell shown): -129.070
DOS(E_F) (states/eV per atom): 0.54

Structure (CIF):
```
data_HfScInRe
_chemical_formula_sum 'Hf4 Sc4 In4 Re4'
_cell_length_a 6.759
_cell_length_b 6.759
_cell_length_c 6.759
_cell_angle_alpha 90.00
_cell_angle_beta 90.00
_cell_angle_gamma 90.00
_symmetry_space_group_name_H-M 'F -4 3 m'
_symmetry_Int_Tables_number 216
_symmetry_space_group_name_Hall 'F -4 2 3'
loop_
_atom_site_label
_atom_site_fract_x
_atom_site_fract_y
_atom_site_fract_z
Hf1 0.000 0.000 0.000
Sc1 0.000 0.000 0.500
In1 0.250 0.250 0.250
Re1 0.250 0.250 0.750
```

***

VASP calculation (GGA-PBE) on an optimized crystal structure of Sr2HfInRe.

DFT formation energy (kcal/mol of atoms): 29.24
Spin magnetization (μB/atom): 0.0002
Volume (Å³/atom): 32.81
Electronic total energy (eV for the cell shown): -22.163
DOS(E_F) (states/eV per atom): 1.09

Structure (CIF):
```
data_Sr2HfInRe
_chemical_formula_sum 'Sr2 Hf1 In1 Re1'
_cell_length_a 5.556
_cell_length_b 5.556
_cell_length_c 5.316
_cell_angle_alpha 90.00
_cell_angle_beta 90.00
_cell_angle_gamma 90.00
_symmetry_space_group_name_H-M 'P 4/m m m'
_symmetry_Int_Tables_number 123
_symmetry_space_group_name_Hall '-P 4 2'
loop_
_atom_site_label
_atom_site_fract_x
_atom_site_fract_y
_atom_site_fract_z
Sr1 0.000 0.500 0.000
Hf1 0.000 0.000 0.500
In1 0.500 0.500 0.500
Re1 0.500 0.500 0.000
```

***

VASP calculation (GGA-PBE) on an optimized crystal structure of HfZrIn2Re.

DFT formation energy (kcal/mol of atoms): 41.47
Spin magnetization (μB/atom): 0.7424
Volume (Å³/atom): 28.71
Electronic total energy (eV for the cell shown): -27.434
DOS(E_F) (states/eV per atom): 0.82

Structure (CIF):
```
data_HfZrIn2Re
_chemical_formula_sum 'Hf1 Zr1 In2 Re1'
_cell_length_a 5.383
_cell_length_b 5.383
_cell_length_c 4.954
_cell_angle_alpha 90.00
_cell_angle_beta 90.00
_cell_angle_gamma 90.00
_symmetry_space_group_name_H-M 'P 4/m m m'
_symmetry_Int_Tables_number 123
_symmetry_space_group_name_Hall '-P 4 2'
loop_
_atom_site_label
_atom_site_fract_x
_atom_site_fract_y
_atom_site_fract_z
Hf1 0.000 0.000 0.000
Zr1 0.000 0.000 0.500
In1 0.000 0.500 0.000
Re1 0.500 0.500 0.500
```

***

VASP calculation (GGA-PBE) on an optimized crystal structure of HfZrInRe.

DFT formation energy (kcal/mol of atoms): -3.47
Spin magnetization (μB/atom): 0.0000
Volume (Å³/atom): 19.70
Electronic total energy (eV for the cell shown): -137.160
DOS(E_F) (states/eV per atom): 0.45

Structure (CIF):
```
data_HfZrInRe
_chemical_formula_sum 'Hf4 Zr4 In4 Re4'
_cell_length_a 6.806
_cell_length_b 6.806
_cell_length_c 6.806
_cell_angle_alpha 90.00
_cell_angle_beta 90.00
_cell_angle_gamma 90.00
_symmetry_space_group_name_H-M 'F -4 3 m'
_symmetry_Int_Tables_number 216
_symmetry_space_group_name_Hall 'F -4 2 3'
loop_
_atom_site_label
_atom_site_fract_x
_atom_site_fract_y
_atom_site_fract_z
Hf1 0.000 0.000 0.000
Zr1 0.000 0.000 0.500
In1 0.250 0.250 0.250
Re1 0.250 0.250 0.750
```